The following is a PBE calculation of a relaxed La5Pm5Pb6 crystal, from Alexandria.

Output
The space-group type is Amm2 (38). Its formation enthalpy at 0 K is -0.543 eV/atom.

abc: 6.950 9.484 9.484
angles: 120.12 90.00 90.00
Positions (direct):
La (0.000, 0.000, 0.000)
La (0.252, 0.571, 0.903)
La (0.252, 0.903, 0.571)
La (0.748, 0.571, 0.903)
La (0.748, 0.903, 0.571)
Pm (0.000, 0.236, 0.476)
Pm (0.000, 0.476, 0.236)
Pm (0.500, 0.239, 0.999)
Pm (0.500, 0.473, 0.473)
Pm (0.500, 0.999, 0.239)
Pb (0.000, 0.239, 0.844)
Pb (0.000, 0.625, 0.625)
Pb (0.000, 0.844, 0.239)
Pb (0.500, 0.237, 0.628)
Pb (0.500, 0.628, 0.237)
Pb (0.500, 0.848, 0.848)